A plane-wave DFT calculation with meta-GGA SCAN was carried out for a crystal of LaScNF2 relaxed with PBEsol.

Results
Final energy   -87.07 eV/cell
Magnetic moment   0.29 μB/cell
Density of states at the Fermi level   2.8 states/eV/f.u.

abc: 4.0457 4.0457 4.3257
angles: 90.00 90.00 90.00
Space group P4/mmm (No. 123)
Inequivalent atoms, fractional coordinates:
La 0.0000 0.0000 0.0000 x1
Sc 0.5000 0.5000 0.5000 x1
N 0.5000 0.5000 0.0000 x1
F 0.0000 0.5000 0.5000 x2